No. 1
Entry from Alexandria via LeMat-Bulk: a relaxed Tb2CePrP4 crystal (GGA-PBE).

CIF file:
```
data_Tb2CePrP4
_chemical_formula_sum 'Tb2 Ce1 Pr1 P4'
_symmetry_space_group_name_H-M 'P 1'
_symmetry_Int_Tables_number 1
_symmetry_space_group_name_Hall 'P 1'
_cell_length_a 4.088
_cell_length_b 7.066
_cell_length_c 7.081
_cell_angle_alpha 70.58
_cell_angle_beta 90.00
_cell_angle_gamma 90.00
loop_
_atom_site_label
_atom_site_type_symbol
_atom_site_fract_x
_atom_site_fract_y
_atom_site_fract_z
_atom_site_occupancy
Tb1 Tb 0.000 0.000 0.000 1
Tb2 Tb 0.500 0.000 0.500 1
Ce1 Ce 0.000 0.500 0.500 1
Pr1 Pr 0.500 0.500 0.000 1
P1 P 0.000 0.757 0.742 1
P2 P 0.000 0.243 0.258 1
P3 P 0.500 0.754 0.253 1
P4 P 0.500 0.246 0.747 1
```



No. 2
Entry from Alexandria via LeMat-Bulk: a relaxed Tb3Ce2PrP6 crystal (GGA-PBE).

CIF file:
```
data_Tb3Ce2PrP6
_chemical_formula_sum 'Tb3 Ce2 Pr1 P6'
_symmetry_space_group_name_H-M 'P 1'
_symmetry_Int_Tables_number 1
_symmetry_space_group_name_Hall 'P 1'
_cell_length_a 7.062
_cell_length_b 7.062
_cell_length_c 7.048
_cell_angle_alpha 99.61
_cell_angle_beta 99.61
_cell_angle_gamma 120.00
loop_
_atom_site_label
_atom_site_type_symbol
_atom_site_fract_x
_atom_site_fract_y
_atom_site_fract_z
_atom_site_occupancy
Tb1 Tb 0.166 0.834 0.500 1
Tb2 Tb 0.834 0.166 0.500 1
Tb3 Tb 0.500 0.500 0.500 1
Ce1 Ce 0.333 0.667 0.000 1
Ce2 Ce 0.667 0.333 0.000 1
Pr1 Pr 0.000 0.000 0.000 1
P1 P 0.915 0.576 0.746 1
P2 P 0.745 0.745 0.254 1
P3 P 0.085 0.424 0.254 1
P4 P 0.576 0.915 0.746 1
P5 P 0.255 0.255 0.746 1
P6 P 0.424 0.085 0.254 1
```



No. 3
Entry from Alexandria via LeMat-Bulk: a relaxed Tb2CePr3P6 crystal (GGA-PBE).

CIF file:
```
data_Tb2CePr3P6
_chemical_formula_sum 'Tb2 Ce1 Pr3 P6'
_symmetry_space_group_name_H-M 'P 1'
_symmetry_Int_Tables_number 1
_symmetry_space_group_name_Hall 'P 1'
_cell_length_a 7.135
_cell_length_b 7.135
_cell_length_c 7.149
_cell_angle_alpha 99.58
_cell_angle_beta 99.58
_cell_angle_gamma 119.99
loop_
_atom_site_label
_atom_site_type_symbol
_atom_site_fract_x
_atom_site_fract_y
_atom_site_fract_z
_atom_site_occupancy
Tb1 Tb 0.333 0.667 0.000 1
Tb2 Tb 0.667 0.333 0.000 1
Ce1 Ce 0.000 0.000 0.000 1
Pr1 Pr 0.167 0.833 0.500 1
Pr2 Pr 0.833 0.167 0.500 1
Pr3 Pr 0.500 0.500 0.500 1
P1 P 0.920 0.589 0.761 1
P2 P 0.748 0.748 0.238 1
P3 P 0.080 0.411 0.239 1
P4 P 0.589 0.920 0.761 1
P5 P 0.252 0.252 0.762 1
P6 P 0.411 0.080 0.239 1
```



No. 4
Entry from Alexandria via LeMat-Bulk: a relaxed Tb4Ce3PrP8 crystal (GGA-PBE).

CIF file:
```
data_Tb4Ce3PrP8
_chemical_formula_sum 'Tb4 Ce3 Pr1 P8'
_symmetry_space_group_name_H-M 'P 1'
_symmetry_Int_Tables_number 1
_symmetry_space_group_name_Hall 'P 1'
_cell_length_a 8.148
_cell_length_b 8.136
_cell_length_c 8.148
_cell_angle_alpha 120.05
_cell_angle_beta 120.00
_cell_angle_gamma 90.00
loop_
_atom_site_label
_atom_site_type_symbol
_atom_site_fract_x
_atom_site_fract_y
_atom_site_fract_z
_atom_site_occupancy
Tb1 Tb 0.500 0.000 0.000 1
Tb2 Tb 0.500 0.000 0.500 1
Tb3 Tb 0.000 0.000 0.000 1
Tb4 Tb 0.000 0.000 0.500 1
Ce1 Ce 0.500 0.500 0.000 1
Ce2 Ce 0.500 0.500 0.500 1
Ce3 Ce 0.000 0.500 0.500 1
Pr1 Pr 0.000 0.500 0.000 1
P1 P 0.254 0.754 0.000 1
P2 P 0.254 0.754 0.507 1
P3 P 0.249 0.248 0.499 1
P4 P 0.747 0.754 0.000 1
P5 P 0.253 0.246 0.000 1
P6 P 0.751 0.752 0.501 1
P7 P 0.746 0.246 0.493 1
P8 P 0.746 0.246 0.000 1
```



No. 5
Entry from Alexandria via LeMat-Bulk: a relaxed TbCe3Pr2P6 crystal (GGA-PBE).

CIF file:
```
data_TbCe3Pr2P6
_chemical_formula_sum 'Tb1 Ce3 Pr2 P6'
_symmetry_space_group_name_H-M 'P 1'
_symmetry_Int_Tables_number 1
_symmetry_space_group_name_Hall 'P 1'
_cell_length_a 7.130
_cell_length_b 7.130
_cell_length_c 7.126
_cell_angle_alpha 99.60
_cell_angle_beta 99.60
_cell_angle_gamma 120.01
loop_
_atom_site_label
_atom_site_type_symbol
_atom_site_fract_x
_atom_site_fract_y
_atom_site_fract_z
_atom_site_occupancy
Tb1 Tb 0.000 0.000 0.000 1
Ce1 Ce 0.168 0.832 0.500 1
Ce2 Ce 0.832 0.168 0.500 1
Ce3 Ce 0.500 0.500 0.500 1
Pr1 Pr 0.334 0.666 0.000 1
Pr2 Pr 0.666 0.334 0.000 1
P1 P 0.915 0.587 0.744 1
P2 P 0.759 0.759 0.257 1
P3 P 0.085 0.413 0.256 1
P4 P 0.587 0.915 0.744 1
P5 P 0.241 0.241 0.743 1
P6 P 0.413 0.085 0.256 1
```



No. 6
Entry from Alexandria via LeMat-Bulk: a relaxed Tb2Ce3PrP6 crystal (GGA-PBE).

CIF file:
```
data_Tb2Ce3PrP6
_chemical_formula_sum 'Tb2 Ce3 Pr1 P6'
_symmetry_space_group_name_H-M 'P 1'
_symmetry_Int_Tables_number 1
_symmetry_space_group_name_Hall 'P 1'
_cell_length_a 7.081
_cell_length_b 7.081
_cell_length_c 7.072
_cell_angle_alpha 99.61
_cell_angle_beta 99.61
_cell_angle_gamma 120.01
loop_
_atom_site_label
_atom_site_type_symbol
_atom_site_fract_x
_atom_site_fract_y
_atom_site_fract_z
_atom_site_occupancy
Tb1 Tb 0.333 0.667 0.000 1
Tb2 Tb 0.667 0.333 0.000 1
Ce1 Ce 0.166 0.834 0.500 1
Ce2 Ce 0.834 0.166 0.500 1
Ce3 Ce 0.500 0.500 0.500 1
Pr1 Pr 0.000 0.000 0.000 1
P1 P 0.916 0.576 0.747 1
P2 P 0.744 0.744 0.252 1
P3 P 0.084 0.424 0.253 1
P4 P 0.576 0.916 0.747 1
P5 P 0.256 0.256 0.748 1
P6 P 0.424 0.084 0.253 1
```



No. 7
Entry from Alexandria via LeMat-Bulk: a relaxed TbCe2Pr3P6 crystal (GGA-PBE).

CIF file:
```
data_TbCe2Pr3P6
_chemical_formula_sum 'Tb1 Ce2 Pr3 P6'
_symmetry_space_group_name_H-M 'P 1'
_symmetry_Int_Tables_number 1
_symmetry_space_group_name_Hall 'P 1'
_cell_length_a 7.152
_cell_length_b 7.152
_cell_length_c 7.165
_cell_angle_alpha 99.58
_cell_angle_beta 99.58
_cell_angle_gamma 120.00
loop_
_atom_site_label
_atom_site_type_symbol
_atom_site_fract_x
_atom_site_fract_y
_atom_site_fract_z
_atom_site_occupancy
Tb1 Tb 0.000 0.000 0.000 1
Ce1 Ce 0.333 0.667 0.000 1
Ce2 Ce 0.667 0.333 0.000 1
Pr1 Pr 0.167 0.833 0.500 1
Pr2 Pr 0.833 0.167 0.500 1
Pr3 Pr 0.500 0.500 0.500 1
P1 P 0.920 0.586 0.761 1
P2 P 0.746 0.746 0.239 1
P3 P 0.080 0.414 0.239 1
P4 P 0.586 0.920 0.761 1
P5 P 0.254 0.254 0.761 1
P6 P 0.414 0.080 0.239 1
```



No. 8
Entry from Alexandria via LeMat-Bulk: a relaxed Tb3CePr2P6 crystal (GGA-PBE).

CIF file:
```
data_Tb3CePr2P6
_chemical_formula_sum 'Tb3 Ce1 Pr2 P6'
_symmetry_space_group_name_H-M 'P 1'
_symmetry_Int_Tables_number 1
_symmetry_space_group_name_Hall 'P 1'
_cell_length_a 4.099
_cell_length_b 8.194
_cell_length_c 9.146
_cell_angle_alpha 102.83
_cell_angle_beta 102.95
_cell_angle_gamma 90.00
loop_
_atom_site_label
_atom_site_type_symbol
_atom_site_fract_x
_atom_site_fract_y
_atom_site_fract_z
_atom_site_occupancy
Tb1 Tb 0.500 0.500 0.000 1
Tb2 Tb 0.832 0.167 0.665 1
Tb3 Tb 0.168 0.833 0.335 1
Ce1 Ce 0.500 0.000 0.000 1
Pr1 Pr 0.833 0.665 0.666 1
Pr2 Pr 0.167 0.335 0.334 1
P1 P 0.334 0.924 0.668 1
P2 P 0.664 0.590 0.328 1
P3 P 0.666 0.076 0.332 1
P4 P 0.997 0.248 0.995 1
P5 P 0.003 0.752 0.005 1
P6 P 0.336 0.410 0.672 1
```



Calculated density in order - 6.22 6.27 5.96 6.29 5.88 6.11 5.81 6.18 Mg/m³
Calculated DFT formation energy in order - -1.56 -1.56 -1.55 -1.56 -1.53 -1.54 -1.53 -1.56 eV per atom